Compound: DyNiSnRu
Source: the Alexandria database
Functional: GGA-PBE
Structure: optimized geometry

Properties
For the size of the total moment, the calculation gives 0.00 μB per atom. The value obtained for the calculated total energy is -6.284 eV per atom.

Unit cell a=6.5670 b=6.5670 c=6.5670 alpha=90.00 beta=90.00 gamma=90.00
Space group F-43m (No. 216)
One atom of each set of equivalent atoms:
Dy (0.0000, 0.0000, 0.0000) [4 per cell]
Ni (0.2500, 0.2500, 0.7500) [4 per cell]
Sn (0.0000, 0.0000, 0.5000) [4 per cell]
Ru (0.2500, 0.2500, 0.2500) [4 per cell]

---

Compound: MnRuAuCS
Source: the Alexandria database
Functional: GGA-PBE
Structure: optimized geometry

Properties
The value obtained for the energy relative to the elements, uncorrected is 0.1364 eV per atom. For the size of the total moment, the calculation gives 0.41 μB per atom. The value obtained for the calculated total energy is -6.878 eV per atom.

Unit cell a=13.5020 b=3.7945 c=3.6638 alpha=90.00 beta=105.62 gamma=90.00
Space group Cm (No. 8)
One atom of each set of equivalent atoms:
Mn (0.0000, 0.0000, 0.0000) [2 per cell]
Ru (0.4908, 0.0000, 0.4909) [2 per cell]
Au (0.2106, 0.5000, 0.2115) [2 per cell]
C (0.0541, 0.5000, 0.0537) [2 per cell]
S (0.3917, 0.5000, 0.3927) [2 per cell]

---

Compound: KAl2AgI8
Source: the Alexandria database
Functional: GGA-PBE
Structure: optimized geometry

Properties
The value obtained for the energy relative to the elements, uncorrected is -0.7236 eV per atom. For the size of the total moment, the calculation gives 0.00 μB per atom. The value obtained for the calculated total energy is -2.710 eV per atom.

Unit cell a=7.4598 b=7.4598 c=10.6412 alpha=90.00 beta=90.00 gamma=120.00
Space group P-3 (No. 147)
One atom of each set of equivalent atoms:
K (0.0000, 0.0000, 0.0000) [1 per cell]
Al (0.3333, 0.6667, 0.7509) [2 per cell]
Ag (0.0000, 0.0000, 0.5000) [1 per cell]
I (0.0101, 0.3316, 0.6771) [6 per cell]
I (0.3333, 0.6667, 0.9909) [2 per cell]